A geometry-optimized BaCuSi structure. Source: Alexandria, functional PBEsol.

Values from the calculation:
Its magnetic moment is 0.0 μB/f.u. As for the uncorrected formation energy: -0.262 eV/atom.

Cell: 4.1155 4.1155 4.9687 Å, 90.00 90.00 120.00°
Last column: nearest neighbours and their distance in Å.
Space group P-6m2 (No. 187)
Unique sites:
Ba (0.0000, 0.0000, 0.0000) (multiplicity 1)  6 Cu 3.44, 6 Si 3.44
Cu (0.3333, 0.6667, 0.5000) (multiplicity 1)  3 Si 2.38
Si (0.6667, 0.3333, 0.5000) (multiplicity 1)  3 Cu 2.38